Computed, not measured: Ta2NiSnIr at its PBEsol-relaxed geometry at the SCAN level of DFT.

a b c (Å): 4.4710 4.4710 4.5921
angles (deg): 90.00 90.00 90.00
Fractional positions:
Ta 0.0000 0.5000 0.0000
Ni 0.0000 0.0000 0.0000
Sn 0.5000 0.5000 0.5000
Ir 0.0000 0.0000 0.5000
Ta 0.5000 0.0000 0.0000

Properties
For the formation energy, the calculation gives 729.3 meV/atom. The total energy is -50.5427 eV/atom. As for the space group: P4/mmm, No. 123.

***

Computed, not measured: Ba3WN3 at its PBEsol-relaxed geometry at the SCAN level of DFT.

a b c (Å): 5.5960 8.3198 8.3198
angles (deg): 120.00 90.00 90.00
Fractional positions:
N 0.7500 0.4336 0.1219
N 0.2500 0.3117 0.4336
Ba 0.7500 0.2626 0.3575
W 0.2500 0.3333 0.6667
Ba 0.2500 0.3575 0.0949
Ba 0.7500 0.6425 0.9051
N 0.2500 0.1219 0.6883
Ba 0.2500 0.7374 0.6425
Ba 0.2500 0.9051 0.2626
Ba 0.7500 0.0949 0.7374
W 0.7500 0.6667 0.3333
N 0.7500 0.8781 0.3117
N 0.2500 0.5664 0.8781
N 0.7500 0.6883 0.5664

Properties
The formation energy (no corrections) is -914 meV per atom. The total energy is -31.8011 eV/atom. As for the space group: P6_3/m, No. 176.

***

Computed, not measured: CaMg2Ag at its PBEsol-relaxed geometry at the SCAN level of DFT.

a b c (Å): 4.8021 4.4201 4.4201
angles (deg): 90.00 90.00 90.00
Fractional positions:
Ca 0.5000 0.5000 0.5000
Mg 0.0000 0.0000 0.5000
Ag 0.5000 0.0000 0.0000
Mg 0.0000 0.5000 0.0000

Properties
For the formation energy, the calculation gives -103.4 meV/atom. The total energy is -12.8479 eV/atom. As for the space group: P4/mmm, No. 123.

***

Computed, not measured: RbGaS2O8 at its PBEsol-relaxed geometry at the SCAN level of DFT.

a b c (Å): 4.9286 4.9286 8.2497
angles (deg): 90.00 90.00 120.00
Fractional positions:
Ga 0.0000 0.0000 0.0000
Rb 0.0000 0.0000 0.5000
O 0.7578 0.6526 0.8500
O 0.1052 0.3474 0.1500
O 0.2422 0.8948 0.1500
S 0.6667 0.3333 0.7903
O 0.6667 0.3333 0.6141
O 0.3474 0.1052 0.8500
O 0.3333 0.6667 0.3859
O 0.8948 0.2422 0.8500
S 0.3333 0.6667 0.2097
O 0.6526 0.7578 0.1500

Properties
The formation energy (no corrections) is -1814 meV per atom. The total energy is -10.6636 eV/atom. As for the space group: P321, No. 150.

***

| no. | calculated volume (Å³ per cell) |
| --- | --- |
| 1 | 91.8 |
| 2 | 335.5 |
| 3 | 93.8 |
| 4 | 173.5 |